[1]
Entry from the Alexandria database: a relaxed Y2TaW crystal (GGA-PBE).

a = 5.0479 Å, b = 3.0103 Å, c = 6.0967 Å
α = 71.60°, β = 90.00°, γ = 90.00°
Closest atoms and distances in Å follow each position.
Fractional coordinates of all 4 atoms:
1 Ta 0.5000 0.2500 0.2500  2 W 2.94, 2 Ta 3.01, 4 Y 3.27
2 Y 0.0000 0.9214 0.9970  4 Y 2.93-3.04, 2 W 3.07, 2 Ta 3.27
3 Y 0.0000 0.5786 0.5030  4 Y 2.93-3.04, 2 W 3.07, 2 Ta 3.27
4 W 0.5000 0.7500 0.7500  2 Ta 2.94, 2 W 3.01, 4 Y 3.07

Properties
As for the magnetization: 0.00 Bohr magnetons per cell. The crystal system is monoclinic. For the calculated density, the calculation gives 10.25 g/cm³. Its energy is -8.83 eV per atom. The value obtained for the relative energy among the computed polymorphs is 383 meV per atom.

***

[2]
Entry from the Alexandria database: a relaxed ZrTcGe2 crystal (GGA-PBE).

a = 3.1372 Å, b = 3.1372 Å, c = 6.7546 Å
α = 90.00°, β = 90.00°, γ = 90.00°
Closest atoms and distances in Å follow each position.
Fractional coordinates of all 4 atoms:
1 Ge 0.0000 0.0000 0.7875  4 Tc 2.64, 1 Ge 2.87, 4 Zr 2.95
2 Ge 0.0000 0.0000 0.2125  4 Tc 2.64, 1 Ge 2.87, 4 Zr 2.95
3 Zr 0.5000 0.5000 0.5000  8 Ge 2.95, 4 Zr 3.14
4 Tc 0.5000 0.5000 0.0000  8 Ge 2.64

Properties
As for the magnetization: 0.00 Bohr magnetons per cell. The crystal system is tetragonal. For the calculated density, the calculation gives 8.36 g/cm³. Its energy is -7.38 eV per atom. The value obtained for the relative energy among the computed polymorphs is 15 meV per atom.

***

[3]
Entry from the Alexandria database: a relaxed NbSnS2Cl crystal (GGA-PBE).

a = 5.0579 Å, b = 5.0579 Å, c = 4.9603 Å
α = 90.00°, β = 90.00°, γ = 90.00°
Closest atoms and distances in Å follow each position.
Fractional coordinates of all 5 atoms:
1 Cl 0.0000 0.0000 0.5000  2 Sn 2.48
2 S 0.0000 0.5000 0.0000  2 Sn 2.53
3 Sn 0.0000 0.0000 0.0000  2 Cl 2.48, 4 S 2.53
4 S 0.5000 0.0000 0.0000  2 Sn 2.53
5 Nb 0.5000 0.5000 0.5000  8 S 3.54, 4 Cl 3.58

Properties
As for the magnetization: 3.14 Bohr magnetons per cell. Its uncorrected formation energy is 51.8 kJ/mol of atoms. The crystal system is tetragonal. For the calculated density, the calculation gives 4.07 g/cm³. Its energy is -4.30 eV per atom. The value obtained for the relative energy among the computed polymorphs is 965 meV per atom.

***

[4]
Entry from the Alexandria database: a relaxed LiCa2Hg3 crystal (GGA-PBE).

a = 6.1133 Å, b = 6.1133 Å, c = 9.3258 Å
α = 103.72°, β = 103.72°, γ = 106.04°
Closest atoms and distances in Å follow each position.
Fractional coordinates of all 12 atoms:
1 Ca 0.7500 0.2500 0.5000  8 Hg 3.32-3.35, 4 Li 3.37, 2 Ca 3.68
2 Li 0.3327 0.3327 0.6654  3 Hg 2.70-2.72
3 Hg 0.3487 0.8253 0.1740  1 Li 2.70, 2 Hg 2.96-2.98
4 Hg 0.8253 0.3487 0.1740  1 Li 2.70, 2 Hg 2.96-2.98
5 Ca 0.2500 0.7500 0.5000  8 Hg 3.32-3.35, 4 Li 3.37, 2 Ca 3.68
6 Hg 0.1742 0.1742 0.3483  1 Li 2.72, 2 Hg 2.96
7 Hg 0.8258 0.8258 0.6517  1 Li 2.72, 2 Hg 2.96
8 Hg 0.1747 0.6513 0.8260  1 Li 2.70, 2 Hg 2.96-2.98
9 Ca 0.7534 0.7534 0.0000  10 Hg 3.33-3.49, 2 Li 3.42, 2 Ca 3.63-3.73
10 Ca 0.2466 0.2466 0.0000  10 Hg 3.33-3.49, 2 Li 3.42, 2 Ca 3.63-3.73
11 Hg 0.6513 0.1747 0.8260  1 Li 2.70, 2 Hg 2.96-2.98
12 Li 0.6673 0.6673 0.3346  3 Hg 2.70-2.72

Properties
As for the magnetization: 0.00 Bohr magnetons per cell. The crystal system is orthorhombic. For the calculated density, the calculation gives 7.43 g/cm³. Its energy is -1.56 eV per atom. The value obtained for the relative energy among the computed polymorphs is 31 meV per atom.

***

[5]
Entry from the Alexandria database: a relaxed KCaTe crystal (GGA-PBE).

a = 8.1268 Å, b = 8.1267 Å, c = 4.1374 Å
α = 75.25°, β = 75.25°, γ = 29.49°
Closest atoms and distances in Å follow each position.
Fractional coordinates of all 3 atoms:
1 K 0.3070 0.3070 0.6930  1 Ca 3.80, 4 Te 3.91, 4 K 4.14
2 Te 0.6363 0.6363 0.3637  4 Ca 3.16
3 Ca 0.0567 0.0567 0.9433  4 Te 3.16

Properties
As for the magnetization: 0.00 Bohr magnetons per cell. Its uncorrected formation energy is -84.7 kJ/mol of atoms. The crystal system is tetragonal. For the calculated density, the calculation gives 2.65 g/cm³. Its energy is -2.96 eV per atom. The value obtained for the relative energy among the computed polymorphs is 8 meV per atom.

***

[6]
Entry from the Alexandria database: a relaxed La6Tc2Bi crystal (GGA-PBE).

a = 8.9543 Å, b = 8.9543 Å, c = 8.9543 Å
α = 105.32°, β = 111.02°, γ = 112.15°
Closest atoms and distances in Å follow each position.
Fractional coordinates of all 18 atoms:
1 La 0.6846 0.3552 0.6706  3 Tc 2.97-3.17
2 La 0.5268 0.7141 0.8127  3 Tc 3.12-3.18, 1 Bi 3.43
3 La 0.7861 0.7650 0.5511  1 Tc 2.79
4 Tc 0.5000 0.3848 0.8848  1 Tc 2.50
5 La 0.7861 0.2350 0.0211  1 Tc 2.79
6 La 0.4732 0.2859 0.1873  3 Tc 3.12-3.18, 1 Bi 3.43
7 La 0.2139 0.2350 0.4489  1 Tc 2.79
8 Tc 0.6759 0.0000 0.6759  2 La 2.79
9 Tc 0.3241 0.0000 0.3241  2 La 2.79
10 Bi 0.0000 0.0000 0.0000  2 Tc 3.29, 8 La 3.35-3.43
11 La 0.3154 0.6448 0.3294  3 Tc 2.97-3.17
12 Bi 0.0000 0.5000 0.5000  12 La 3.60-3.83
13 La 0.0986 0.2859 0.8127  3 Tc 3.12-3.18, 1 Bi 3.43
14 La 0.2139 0.7650 0.9789  1 Tc 2.79
15 La 0.6846 0.0140 0.3294  3 Tc 2.97-3.17
16 La 0.3154 0.9860 0.6706  3 Tc 2.97-3.17
17 Tc 0.5000 0.6152 0.1152  1 Tc 2.50
18 La 0.9014 0.7141 0.1873  3 Tc 3.12-3.18, 1 Bi 3.43

Properties
As for the magnetization: 0.00 Bohr magnetons per cell. The crystal system is orthorhombic. For the calculated density, the calculation gives 7.47 g/cm³. Its energy is -6.25 eV per atom.

***

[7]
Entry from the Alexandria database: a relaxed ScAg3 crystal (GGA-PBE).

a = 5.1539 Å, b = 5.1539 Å, c = 11.9430 Å
α = 150.34°, β = 150.34°, γ = 35.51°
Closest atoms and distances in Å follow each position.
Fractional coordinates of all 4 atoms:
1 Ag 0.9961 0.9961 0.9975  9 Ag 2.94-3.14, 3 Sc 2.97-2.98
2 Ag 0.0039 0.0039 0.5025  9 Ag 2.94-3.14, 3 Sc 2.97-2.98
3 Ag 0.0000 0.0000 0.7500  8 Ag 2.94-3.14, 4 Sc 2.96
4 Sc 0.0000 0.0000 0.2500  10 Ag 2.96-2.98, 2 Sc 3.14

Properties
As for the magnetization: 0.00 Bohr magnetons per cell. The crystal system is monoclinic. For the calculated density, the calculation gives 8.12 g/cm³. Its energy is -3.82 eV per atom.

***

[8]
Entry from the Alexandria database: a relaxed ZrBe2MoI crystal (GGA-PBE).

a = 4.4857 Å, b = 5.3055 Å, c = 4.4857 Å
α = 90.00°, β = 90.00°, γ = 90.00°
Closest atoms and distances in Å follow each position.
Fractional coordinates of all 5 atoms:
1 I 0.0000 0.0000 0.0000  4 Be 2.24
2 Mo 0.5000 0.5000 0.5000  4 Zr 3.17, 8 Be 3.47
3 Be 0.0000 0.0000 0.5000  2 I 2.24
4 Zr 0.0000 0.5000 0.0000  2 I 2.65
5 Be 0.5000 0.0000 0.0000  2 I 2.24

Properties
As for the magnetization: 1.60 Bohr magnetons per cell. Its uncorrected formation energy is 178.8 kJ/mol of atoms. The crystal system is tetragonal. For the calculated density, the calculation gives 5.17 g/cm³. Its energy is -3.82 eV per atom. The value obtained for the relative energy among the computed polymorphs is 814 meV per atom.

***

[9]
Entry from the Alexandria database: a relaxed Mn2AsPt2 crystal (GGA-PBE).

a = 5.9835 Å, b = 5.9835 Å, c = 4.0341 Å
α = 90.00°, β = 90.00°, γ = 90.00°
Closest atoms and distances in Å follow each position.
Fractional coordinates of all 10 atoms:
1 Pt 0.8402 0.3402 0.5000  6 Mn 2.67-2.69, 1 Pt 2.70
2 Pt 0.6598 0.8402 0.5000  6 Mn 2.67-2.69, 1 Pt 2.70
3 Pt 0.1598 0.6598 0.5000  6 Mn 2.67-2.69, 1 Pt 2.70
4 As 0.5000 0.5000 0.0000  4 Mn 2.35
5 Mn 0.8698 0.6302 0.0000  1 Mn 2.20, 2 As 2.35
6 Pt 0.3402 0.1598 0.5000  6 Mn 2.67-2.69, 1 Pt 2.70
7 Mn 0.6302 0.1302 0.0000  1 Mn 2.20, 2 As 2.35
8 As 0.0000 0.0000 0.0000  4 Mn 2.35
9 Mn 0.1302 0.3698 0.0000  1 Mn 2.20, 2 As 2.35
10 Mn 0.3698 0.8698 0.0000  1 Mn 2.20, 2 As 2.35

Properties
As for the magnetization: 5.39 Bohr magnetons per cell. The crystal system is tetragonal. For the calculated density, the calculation gives 13.22 g/cm³. Its energy is -6.99 eV per atom. The value obtained for the relative energy among the computed polymorphs is 0 meV per atom.

***

[10]
Entry from the Alexandria database: a relaxed CaOsSe2 crystal (GGA-PBE).

a = 3.8885 Å, b = 3.8885 Å, c = 6.9843 Å
α = 90.00°, β = 90.00°, γ = 118.43°
Closest atoms and distances in Å follow each position.
Fractional coordinates of all 4 atoms:
1 Se 0.0000 0.0000 0.5337  2 Os 2.50
2 Se 0.0000 0.0000 0.9663  2 Os 2.50
3 Ca 0.5000 0.5000 0.2500  4 Se 2.81
4 Os 0.5000 0.5000 0.7500  4 Se 2.50

Properties
As for the magnetization: 1.63 Bohr magnetons per cell. Its uncorrected formation energy is -10.3 kJ/mol of atoms. The crystal system is orthorhombic. For the calculated density, the calculation gives 6.94 g/cm³. Its energy is -5.16 eV per atom. The value obtained for the relative energy among the computed polymorphs is 529 meV per atom.

***

Question: What is the calculated density in the sixth record?
Answer: 7.47 g/cm³